Entry 1:
Below is a relaxed structure of Ta3IO, with properties calculated at the GGA-PBE level.

Cell and atoms, written as CIF:
```
data_Ta3IO
_symmetry_space_group_name_H-M 'P m -3 m'
_symmetry_Int_Tables_number 221
_symmetry_space_group_name_Hall '-P 4 2 3'
_cell_length_a 4.3736
_cell_length_b 4.3736
_cell_length_c 4.3736
_cell_angle_alpha 90.00
_cell_angle_beta 90.00
_cell_angle_gamma 90.00
loop_
_atom_site_label
_atom_site_fract_x
_atom_site_fract_y
_atom_site_fract_z
Ta1 0.0000 0.0000 0.5000
I1 0.5000 0.5000 0.5000
O1 0.0000 0.0000 0.0000
```

## Properties
Fermi-level density of states	2.4	states/eV/f.u.
spin magnetization	0.000	μB per atom
VASP energy	-41.40	eV per cell
E_form (uncorrected)	0.1325	eV/atom

***

Entry 2:
Below is a relaxed structure of RbPb5Au3, with properties calculated at the GGA-PBE level.

Cell and atoms, written as CIF:
```
data_RbPb5Au3
_symmetry_space_group_name_H-M 'C m c m'
_symmetry_Int_Tables_number 63
_symmetry_space_group_name_Hall '-C 2c 2'
_cell_length_a 4.6140
_cell_length_b 15.9023
_cell_length_c 15.4679
_cell_angle_alpha 90.00
_cell_angle_beta 90.00
_cell_angle_gamma 90.00
loop_
_atom_site_label
_atom_site_fract_x
_atom_site_fract_y
_atom_site_fract_z
Rb1 0.0000 0.1648 0.2500
Pb1 0.0000 0.0000 0.0000
Pb2 0.0000 0.1975 0.5723
Pb3 0.0000 0.4590 0.1473
Au1 0.0000 0.1298 0.7500
Au2 0.0000 0.3760 0.5370
```

## Properties
Fermi-level density of states	3.5	states/eV/f.u.
spin magnetization	0.000	μB per atom
VASP energy	-120.67	eV per cell
energy of formation	-80	kJ/mol of formula units

***

Entry 3:
Below is a relaxed structure of Tb2Pr3Ag2, with properties calculated at the GGA-PBE level.

Cell and atoms, written as CIF:
```
data_Tb2Pr3Ag2
_symmetry_space_group_name_H-M 'C 1 2/m 1'
_symmetry_Int_Tables_number 12
_symmetry_space_group_name_Hall '-C 2y'
_cell_length_a 13.1137
_cell_length_b 3.8234
_cell_length_c 9.4115
_cell_angle_alpha 90.00
_cell_angle_beta 114.99
_cell_angle_gamma 90.00
loop_
_atom_site_label
_atom_site_fract_x
_atom_site_fract_y
_atom_site_fract_z
Tb1 0.1499 0.0000 0.3147
Pr1 0.0000 0.5000 0.5000
Pr2 0.1091 0.5000 0.9437
Ag1 0.1769 0.0000 0.7212
```

## Properties
Fermi-level density of states	6.8	states/eV/f.u.
spin magnetization	0.000	μB per atom
VASP energy	-60.07	eV per cell
energy of formation	-71	kJ/mol of formula units